Material: ErTaN2O
Method: DFT, GGA-PBE
State: relaxed

a = 5.457 Å, b = 9.702 Å, c = 9.704 Å
α = 71.89°, β = 90.00°, γ = 89.99°
Fractional positions:
1 Er 0.000 0.000 0.000
2 Er 0.000 0.500 0.496
3 Er 0.458 0.744 0.258
4 Er 0.468 0.238 0.754
5 Er 0.494 0.933 0.566
6 Er 0.505 0.431 0.067
7 Er 0.960 0.688 0.809
8 Er 0.966 0.191 0.305
9 Ta 0.001 0.347 0.905
10 Ta 0.001 0.583 0.155
11 Ta 0.463 0.847 0.912
12 Ta 0.491 0.575 0.668
13 Ta 0.498 0.340 0.414
14 Ta 0.499 0.090 0.149
15 Ta 0.959 0.846 0.415
16 Ta 0.991 0.101 0.642
17 N 0.086 0.984 0.510
18 N 0.090 0.482 0.012
19 N 0.168 0.272 0.533
20 N 0.168 0.461 0.722
21 N 0.171 0.770 0.033
22 N 0.273 0.205 0.978
23 N 0.274 0.015 0.784
24 N 0.278 0.519 0.283
25 N 0.587 0.447 0.549
26 N 0.589 0.942 0.049
27 N 0.667 0.157 0.530
28 N 0.667 0.966 0.337
29 N 0.671 0.466 0.838
30 N 0.773 0.719 0.583
31 N 0.774 0.413 0.273
32 N 0.777 0.216 0.084
33 O 0.170 0.952 0.225
34 O 0.268 0.709 0.469
35 O 0.354 0.735 0.755
36 O 0.358 0.233 0.258
37 O 0.672 0.658 0.015
38 O 0.769 0.902 0.774
39 O 0.855 0.695 0.297
40 O 0.857 0.186 0.803

Computed properties:
- total moment (μB/cell) = 0.00
- calculated total energy (eV/atom) = -9.60
- space group = P1

=====

Material: Pr2Co2I
Method: DFT, GGA-PBE
State: relaxed

a = 4.005 Å, b = 4.005 Å, c = 17.716 Å
α = 90.00°, β = 90.00°, γ = 120.00°
Fractional positions:
1 Pr 0.000 0.000 0.106
2 Pr 0.000 0.000 0.394
3 Pr 0.000 0.000 0.606
4 Pr 0.000 0.000 0.894
5 Co 0.333 0.667 0.000
6 Co 0.333 0.667 0.500
7 Co 0.667 0.333 0.000
8 Co 0.667 0.333 0.500
9 I 0.333 0.667 0.250
10 I 0.667 0.333 0.750

Computed properties:
- total moment (μB/cell) = 0.56
- calculated total energy (eV/atom) = -5.62
- space group = P6_3/mmc

=====

Material: GdEr2TmGa2
Method: DFT, GGA-PBE
State: relaxed

a = 5.129 Å, b = 5.129 Å, c = 6.548 Å
α = 90.00°, β = 90.00°, γ = 120.00°
Fractional positions:
1 Gd 0.000 0.000 0.000
2 Er 0.333 0.667 0.254
3 Er 0.333 0.667 0.746
4 Tm 0.667 0.333 0.500
5 Ga 0.000 0.000 0.500
6 Ga 0.667 0.333 0.000

Computed properties:
- total moment (μB/cell) = 0.05
- calculated total energy (eV/atom) = -4.45
- space group = P-6m2

=====

Material: Li3Tl2Au
Method: DFT, GGA-PBE
State: relaxed

a = 3.345 Å, b = 3.345 Å, c = 10.040 Å
α = 90.00°, β = 90.00°, γ = 90.00°
Fractional positions:
1 Li 0.000 0.000 0.000
2 Li 0.000 0.000 0.364
3 Li 0.000 0.000 0.636
4 Tl 0.500 0.500 0.185
5 Tl 0.500 0.500 0.815
6 Au 0.500 0.500 0.500

Computed properties:
- calculated total energy (eV/atom) = -2.62
- space group = P4/mmm

=====

Material: PmMg2In
Method: DFT, GGA-PBE
State: relaxed

a = 4.590 Å, b = 4.590 Å, c = 4.850 Å
α = 90.00°, β = 90.00°, γ = 90.00°
Fractional positions:
1 Pm 0.000 0.000 0.000
2 Mg 0.000 0.500 0.500
3 Mg 0.500 0.000 0.500
4 In 0.500 0.500 0.000

Computed properties:
- total moment (μB/cell) = 0.00
- calculated total energy (eV/atom) = -2.94
- space group = P4/mmm

=====

Material: HfZnTc
Method: DFT, GGA-PBE
State: relaxed

a = 6.216 Å, b = 6.216 Å, c = 6.216 Å
α = 90.00°, β = 90.00°, γ = 90.00°
Fractional positions:
1 Hf 0.000 0.000 0.000
2 Hf 0.000 0.500 0.500
3 Hf 0.500 0.000 0.500
4 Hf 0.500 0.500 0.000
5 Zn 0.250 0.250 0.250
6 Zn 0.250 0.750 0.750
7 Zn 0.750 0.250 0.750
8 Zn 0.750 0.750 0.250
9 Tc 0.250 0.250 0.750
10 Tc 0.250 0.750 0.250
11 Tc 0.750 0.250 0.250
12 Tc 0.750 0.750 0.750

Computed properties:
- formation enthalpy at 0 K (eV per atom) = 0.711
- relative energy among the computed polymorphs (eV/f.u.) = 1.05
- total moment (μB/cell) = 0.00
- calculated total energy (eV/atom) = -6.48
- space group = F-43m

=====

Material: AcFe3
Method: DFT, GGA-PBE
State: relaxed

a = 4.087 Å, b = 4.087 Å, c = 4.087 Å
α = 90.00°, β = 90.00°, γ = 90.00°
Fractional positions:
1 Ac 0.000 0.000 0.000
2 Fe 0.000 0.500 0.500
3 Fe 0.500 0.000 0.500
4 Fe 0.500 0.500 0.000

Computed properties:
- formation enthalpy at 0 K (eV per atom) = 0.715
- total moment (μB/cell) = 6.49
- calculated total energy (eV/atom) = -6.54
- space group = Pm-3m

=====

Material: MgBeCuAs
Method: DFT, GGA-PBE
State: relaxed

a = 6.225 Å, b = 6.225 Å, c = 6.225 Å
α = 90.00°, β = 90.00°, γ = 90.00°
Fractional positions:
1 Mg 0.000 0.000 0.000
2 Mg 0.000 0.500 0.500
3 Mg 0.500 0.000 0.500
4 Mg 0.500 0.500 0.000
5 Be 0.250 0.250 0.250
6 Be 0.250 0.750 0.750
7 Be 0.750 0.250 0.750
8 Be 0.750 0.750 0.250
9 Cu 0.000 0.000 0.500
10 Cu 0.000 0.500 0.000
11 Cu 0.500 0.000 0.000
12 Cu 0.500 0.500 0.500
13 As 0.250 0.250 0.750
14 As 0.250 0.750 0.250
15 As 0.750 0.250 0.250
16 As 0.750 0.750 0.750

Computed properties:
- relative energy among the computed polymorphs (eV/f.u.) = 0.21
- calculated total energy (eV/atom) = -3.16
- space group = F-43m